Compound: RePt2
Source: the Alexandria database
Functional: PBE-GGA
Structure: relaxed

polymorph energy (0 for the lowest one) = 20.98 kcal/mol of atoms
density of states at the Fermi level = 1.428 states/eV/atom
formation energy = 221 kJ/mol of formula units
crystal system = cubic

Structure (CIF):
```
data_RePt2
_chemical_formula_sum 'Re4 Pt8'
_cell_length_a 6.093
_cell_length_b 6.093
_cell_length_c 6.093
_cell_angle_alpha 90.00
_cell_angle_beta 90.00
_cell_angle_gamma 90.00
_space_group_name_H-M_alt 'P a -3'
_space_group_IT_number 205
_space_group_name_Hall '-P 2ac 2ab 3'
loop_
_atom_site_label
_atom_site_type_symbol
_atom_site_fract_x
_atom_site_fract_y
_atom_site_fract_z
Re1 Re 0.000 0.000 0.000
Pt1 Pt 0.122 0.622 0.878
```

***

Compound: RePt
Source: the Alexandria database
Functional: PBE-GGA
Structure: relaxed

polymorph energy (0 for the lowest one) = 16.00 kcal/mol of atoms
density of states at the Fermi level = 0.894 states/eV/atom
formation energy = 110 kJ/mol of formula units
crystal system = tetragonal

Structure (CIF):
```
data_RePt
_chemical_formula_sum 'Re8 Pt8'
_cell_length_a 10.551
_cell_length_b 10.551
_cell_length_c 2.751
_cell_angle_alpha 90.00
_cell_angle_beta 90.00
_cell_angle_gamma 90.00
_space_group_name_H-M_alt 'I 4/m'
_space_group_IT_number 87
_space_group_name_Hall '-I 4'
loop_
_atom_site_label
_atom_site_type_symbol
_atom_site_fract_x
_atom_site_fract_y
_atom_site_fract_z
Re1 Re 0.171 0.689 0.000
Pt1 Pt 0.035 0.187 0.000
```

***

Compound: Re3Pt
Source: the Alexandria database
Functional: PBE-GGA
Structure: relaxed

density of states at the Fermi level = 0.710 states/eV/atom
formation energy = 147 kJ/mol of formula units
crystal system = cubic

Structure (CIF):
```
data_Re3Pt
_chemical_formula_sum 'Re12 Pt4'
_cell_length_a 6.260
_cell_length_b 6.260
_cell_length_c 6.260
_cell_angle_alpha 90.00
_cell_angle_beta 90.00
_cell_angle_gamma 90.00
_space_group_name_H-M_alt 'F m -3 m'
_space_group_IT_number 225
_space_group_name_Hall '-F 4 2 3'
loop_
_atom_site_label
_atom_site_type_symbol
_atom_site_fract_x
_atom_site_fract_y
_atom_site_fract_z
Re1 Re 0.000 0.000 0.000
Re2 Re 0.250 0.250 0.250
Pt1 Pt 0.000 0.000 0.500
```

***

Compound: RePt
Source: the Alexandria database
Functional: PBE-GGA
Structure: relaxed

polymorph energy (0 for the lowest one) = 0.00 kcal/mol of atoms
density of states at the Fermi level = 0.797 states/eV/atom
formation energy = -24 kJ/mol of formula units
crystal system = trigonal

Structure (CIF):
```
data_RePt
_chemical_formula_sum 'Re2 Pt2'
_cell_length_a 2.8028
_cell_length_b 2.8028
_cell_length_c 8.9868
_cell_angle_alpha 90.00
_cell_angle_beta 90.00
_cell_angle_gamma 120.00
_space_group_name_H-M_alt 'P -3 m 1'
_space_group_IT_number 164
_space_group_name_Hall '-P 3 2"'
loop_
_atom_site_label
_atom_site_type_symbol
_atom_site_fract_x
_atom_site_fract_y
_atom_site_fract_z
Re1 Re 0.3333 0.6667 0.3833
Pt1 Pt 0.3333 0.6667 0.8651
```